Crystalline RbNa2UF8 at its relaxed geometry, computed with PBE-GGA.

a b c (Å): 4.8505 5.8837 8.5417
angles (deg): 89.07 89.25 80.18
Closest atoms and distances in Å follow each position.
Element x y z (fractional)
Rb (0.0000, 0.0000, 0.5000)  2 F 2.69
Na (0.4952, 0.4967, 0.6851)  4 F 2.17-2.35
Na (0.5048, 0.5033, 0.3149)  4 F 2.17-2.35
U (0.0000, 0.0000, 0.0000)  6 F 2.07-2.11
F (0.1911, 0.7868, 0.1823)  1 U 2.11, 1 Na 2.34
F (0.6984, 0.7900, 0.0047)  1 U 2.07
F (0.8042, 0.2161, 0.1777)  1 U 2.11, 1 Na 2.35
F (0.8089, 0.2132, 0.8177)  1 U 2.11, 1 Na 2.34
F (0.3016, 0.2100, 0.9953)  1 U 2.07
F (0.1958, 0.7839, 0.8223)  1 U 2.11, 1 Na 2.35
F (0.6200, 0.7160, 0.5000)  2 Na 2.17
F (0.3800, 0.2840, 0.5000)  2 Na 2.17

Calculated values
Uncorrected energy ... -5.613 eV per atom
Calculated volume ... 240.2 Å³ per cell

Crystalline TlHg2H2 at its relaxed geometry, computed with PBE-GGA.

a b c (Å): 7.2587 7.2587 3.8774
angles (deg): 90.00 90.00 90.00
Closest atoms and distances in Å follow each position.
Element x y z (fractional)
H (0.1502, 0.6502, 0.0000)  2 Hg 1.94
H (0.6502, 0.8498, 0.0000)  2 Hg 1.94
H (0.8498, 0.3498, 0.0000)  2 Hg 1.94
H (0.3498, 0.1502, 0.0000)  2 Hg 1.94
Tl (0.0000, 0.0000, 0.0000)  4 H 2.76
Tl (0.5000, 0.5000, 0.0000)  4 H 2.76
Hg (0.1501, 0.6501, 0.5000)  2 H 1.94
Hg (0.6501, 0.8499, 0.5000)  2 H 1.94
Hg (0.8499, 0.3499, 0.5000)  2 H 1.94
Hg (0.3499, 0.1501, 0.5000)  2 H 1.94

Calculated values
Uncorrected energy ... -1.625 eV per atom
Polymorph energy (0 for the lowest one) ... 1.210 eV/f.u.
Calculated volume ... 204.3 Å³ per cell

Crystalline LiHoAl2 at its relaxed geometry, computed with PBE-GGA.

a b c (Å): 3.1240 3.1240 10.0662
angles (deg): 81.07 81.07 60.00
Closest atoms and distances in Å follow each position.
Element x y z (fractional)
Li (0.0000, 0.0000, 0.0000)  6 Al 2.94, 6 Li 3.12
Ho (0.5000, 0.5000, 0.5000)  6 Ho 3.12, 6 Al 3.19
Al (0.7449, 0.7449, 0.7653)  3 Li 2.94, 6 Al 3.12, 3 Ho 3.19
Al (0.2551, 0.2551, 0.2347)  3 Li 2.94, 6 Al 3.12, 3 Ho 3.19

Calculated values
Uncorrected energy ... -3.477 eV per atom
Polymorph energy (0 for the lowest one) ... 1.116 eV/f.u.
DFT formation energy ... 17 meV per atom
Calculated volume ... 83.7 Å³ per cell

Crystalline Pm3Sn2Ru at its relaxed geometry, computed with PBE-GGA.

a b c (Å): 6.1170 6.3310 9.3497
angles (deg): 109.79 109.09 90.00
Closest atoms and distances in Å follow each position.
Element x y z (fractional)
Pm (0.4502, 0.6781, 0.3561)  5 Sn 3.04-3.34
Pm (0.5498, 0.3219, 0.6439)  5 Sn 3.04-3.34
Pm (0.0941, 0.8219, 0.6439)  5 Sn 3.04-3.34
Pm (0.9059, 0.1781, 0.3561)  5 Sn 3.04-3.34
Pm (0.5000, 0.7500, 0.0000)  2 Ru 3.06, 4 Sn 3.15, 2 Pm 3.17
Pm (0.5000, 0.2500, 0.0000)  2 Ru 3.06, 4 Sn 3.15, 2 Pm 3.17
Sn (0.3256, 0.1229, 0.2458)  2 Ru 2.86, 3 Pm 3.04-3.15
Sn (0.6744, 0.8771, 0.7542)  2 Ru 2.86, 3 Pm 3.04-3.15
Sn (0.0798, 0.3771, 0.7542)  2 Ru 2.86, 3 Pm 3.04-3.15
Sn (0.9202, 0.6229, 0.2458)  2 Ru 2.86, 3 Pm 3.04-3.15
Ru (0.0000, 0.2500, 0.0000)  4 Sn 2.86, 2 Pm 3.06, 2 Ru 3.17
Ru (0.0000, 0.7500, 0.0000)  4 Sn 2.86, 2 Pm 3.06, 2 Ru 3.17

Calculated values
Uncorrected energy ... -5.668 eV per atom
Polymorph energy (0 for the lowest one) ... 1.234 eV/f.u.
DFT formation energy ... -412 meV per atom
Calculated volume ... 319.4 Å³ per cell

Crystalline Pm12Er3Al at its relaxed geometry, computed with PBE-GGA.

a b c (Å): 5.0317 5.0317 20.3884
angles (deg): 90.00 90.00 90.00
Closest atoms and distances in Å follow each position.
Element x y z (fractional)
Pm (0.5000, 0.5000, 0.0000)  8 Pm 3.48, 4 Al 3.56
Pm (0.5000, 0.5000, 0.2448)  4 Er 3.56, 8 Pm 3.61-3.62
Pm (0.5000, 0.5000, 0.5000)  4 Er 3.56, 8 Pm 3.62
Pm (0.5000, 0.5000, 0.7552)  4 Er 3.56, 8 Pm 3.61-3.62
Pm (0.5000, 0.0000, 0.1177)  2 Al 3.48, 8 Pm 3.48-3.61, 2 Er 3.63
Pm (0.5000, 0.0000, 0.3726)  8 Pm 3.56-3.62, 4 Er 3.60-3.62
Pm (0.5000, 0.0000, 0.6274)  8 Pm 3.56-3.62, 4 Er 3.60-3.62
Pm (0.5000, 0.0000, 0.8823)  8 Pm 3.48-3.61, 2 Al 3.48, 2 Er 3.63
Pm (0.0000, 0.5000, 0.1177)  2 Al 3.48, 8 Pm 3.48-3.61, 2 Er 3.63
Pm (0.0000, 0.5000, 0.3726)  8 Pm 3.56-3.62, 4 Er 3.60-3.62
Pm (0.0000, 0.5000, 0.6274)  8 Pm 3.56-3.62, 4 Er 3.60-3.62
Pm (0.0000, 0.5000, 0.8823)  8 Pm 3.48-3.61, 2 Al 3.48, 2 Er 3.63
Er (0.0000, 0.0000, 0.2463)  12 Pm 3.56-3.63
Er (0.0000, 0.0000, 0.5000)  12 Pm 3.56-3.62
Er (0.0000, 0.0000, 0.7537)  12 Pm 3.56-3.63
Al (0.0000, 0.0000, 0.0000)  12 Pm 3.48-3.56

Calculated values
Uncorrected energy ... -4.671 eV per atom
DFT formation energy ... -19 meV per atom
Calculated volume ... 516.2 Å³ per cell

Crystalline BaTi2FeRu at its relaxed geometry, computed with PBE-GGA.

a b c (Å): 4.4778 5.3350 4.4778
angles (deg): 90.00 90.00 90.00
Closest atoms and distances in Å follow each position.
Element x y z (fractional)
Ru (0.5000, 0.5000, 0.5000)  4 Ba 3.17, 8 Ti 3.48
Ti (0.0000, 0.0000, 0.5000)  2 Fe 2.24
Ti (0.5000, 0.0000, 0.0000)  2 Fe 2.24
Ba (0.0000, 0.5000, 0.0000)  2 Fe 2.67
Fe (0.0000, 0.0000, 0.0000)  4 Ti 2.24

Calculated values
Uncorrected energy ... -6.094 eV per atom
DFT formation energy ... 997 meV per atom
Calculated volume ... 107.0 Å³ per cell

Q: The highest calculated volume belongs to which entry?
A: Pm12Er3Al